{"formula": "YNiN2O", "functional": "GGA+U", "state": "optimized geometry", "lattice_angstrom": [[4.553, 0.000, 0.000], [0.000, 4.553, 0.000], [0.000, 0.000, 4.323]], "species": ["Y", "Ni", "N", "N", "O"], "frac_coords": [[0.000, 0.000, 0.000], [0.500, 0.500, 0.500], [0.000, 0.500, 0.000], [0.500, 0.000, 0.000], [0.000, 0.000, 0.500]], "dos_at_fermi_per_ev_cell": 1.78, "final_energy_ev_per_cell": -26.7, "space_group": "P4/mmm (123)"}